Computed, not measured: AlTe2IO after structural relaxation at the PBE-GGA level of DFT.

Results
Its polymorph energy (0 for the lowest one) is 0 meV per atom. As for the space group: P4/mmm. The calculation puts the total energy at -3.18 eV per atom. For the formation energy without anion corrections, the calculation gives 0.13 eV per atom.

Structure (POSCAR):
```
AlTe2IO
1.0
4.489 0.000 0.000
0.000 4.489 0.000
0.000 0.000 7.044
Al Te I O
1 2 1 1
direct
0.000 0.000 0.000
0.000 0.500 0.500
0.500 0.000 0.500
0.500 0.500 0.000
0.500 0.500 0.500
```